The following is a DFT calculation (PBE) of a relaxed structure of Sm6Er3Mg.

Output
Total magnetic moment   0.000 μB per atom
Fermi-level density of states   12.0 states/eV/f.u.
Energy above the lowest structure with this stoichiometry   108 meV/atom
Formation enthalpy at 0 K   1.24 eV per formula unit

Cell lengths 9.171, 8.767, 8.767 Å; angles 114.49, 90.00, 90.00 degrees
Atoms (fractional coordinates):
Sm 0.102 0.855 0.707
Sm 0.602 0.707 0.855
Sm 0.267 0.520 0.831
Sm 0.767 0.831 0.520
Sm 0.283 0.939 0.061
Sm 0.651 0.296 0.704
Sm 0.151 0.704 0.296
Sm 0.783 0.061 0.939
Sm 0.267 0.169 0.480
Sm 0.767 0.480 0.169
Sm 0.102 0.293 0.145
Sm 0.602 0.145 0.293
Er 0.443 0.966 0.682
Er 0.943 0.682 0.966
Er 0.428 0.534 0.466
Er 0.928 0.466 0.534
Er 0.943 0.034 0.318
Er 0.443 0.318 0.034
Mg 0.999 0.243 0.757
Mg 0.499 0.757 0.243